# 1
VASP calculation (PBE) on a relaxed structure of AcPr2Ho4Er.

Summary:
Space-group type = Imma (74)
Theoretical density = 7.961 g/cm3
E_form = 0.424 eV/atom
M_tot = 0.0462 μB/atom

a = 9.648 Å, b = 9.648 Å, c = 9.648 Å
α = 138.00°, β = 103.21°, γ = 91.62°
Atoms (fractional coordinates):
Ac: 0.000 0.000 0.000
Ac: 0.500 0.000 0.500
Pr: 0.000 0.500 0.500
Pr: 0.500 0.000 0.000
Pr: 0.500 0.500 0.000
Pr: 0.500 0.500 0.500
Ho: 0.235 0.742 0.493
Ho: 0.243 0.255 0.512
Ho: 0.243 0.731 0.988
Ho: 0.251 0.258 0.993
Ho: 0.749 0.742 0.007
Ho: 0.757 0.269 0.012
Ho: 0.757 0.745 0.488
Ho: 0.765 0.258 0.507
Er: 0.000 0.000 0.500
Er: 0.000 0.500 0.000


# 2
VASP calculation (PBE) on a relaxed structure of Nb2AgGe2.

Summary:
ΔE to the lowest computed polymorph = 0 meV per atom
Space-group type = P4/mbm (127)
Theoretical density = 8.423 g/cm3
E_form = -0.108 eV/atom
M_tot = 0.0000 μB/atom

a = 6.980 Å, b = 6.980 Å, c = 3.553 Å
α = 90.00°, β = 90.00°, γ = 90.00°
Atoms (fractional coordinates):
Nb: 0.158 0.342 0.000
Nb: 0.342 0.842 0.000
Nb: 0.658 0.158 0.000
Nb: 0.842 0.658 0.000
Ag: 0.000 0.000 0.500
Ag: 0.500 0.500 0.500
Ge: 0.138 0.638 0.500
Ge: 0.362 0.138 0.500
Ge: 0.638 0.862 0.500
Ge: 0.862 0.362 0.500